# 1
# NpFeTc2, optimized geometry, DFT PBE
# E   -10.263 eV/atom
# DOS at the Fermi energy   5.9 states/eV per cell
# Formation enthalpy at 0 K   0.271 eV per atom
# Magnetization   1.81 Bohr magnetons per cell
# SG   P4/mmm
data_NpFeTc2
_symmetry_space_group_name_H-M 'P 1'
_symmetry_Int_Tables_number 1
_cell_length_a 3.282
_cell_length_b 3.282
_cell_length_c 5.829
_cell_angle_alpha 90.00
_cell_angle_beta 90.00
_cell_angle_gamma 90.00
loop_
_symmetry_equiv_pos_as_xyz
'x,y,z'
loop_
_atom_site_label
_atom_site_type_symbol
_atom_site_fract_x
_atom_site_fract_y
_atom_site_fract_z
_atom_site_occupancy
Np1 Np 0.000 0.000 0.000 1
Fe1 Fe 0.000 0.000 0.500 1
Tc1 Tc 0.500 0.500 0.251 1
Tc2 Tc 0.500 0.500 0.749 1

***

# 2
# La4Tb2SmDy, optimized geometry, DFT PBE
# E   -4.768 eV/atom
# DOS at the Fermi energy   11.1 states/eV per cell
# Formation enthalpy at 0 K   0.018 eV per atom
# Magnetization   0.00 Bohr magnetons per cell
# SG   Pmmm
data_La4Tb2SmDy
_symmetry_space_group_name_H-M 'P 1'
_symmetry_Int_Tables_number 1
_cell_length_a 5.221
_cell_length_b 5.261
_cell_length_c 10.076
_cell_angle_alpha 90.00
_cell_angle_beta 90.00
_cell_angle_gamma 90.00
loop_
_symmetry_equiv_pos_as_xyz
'x,y,z'
loop_
_atom_site_label
_atom_site_type_symbol
_atom_site_fract_x
_atom_site_fract_y
_atom_site_fract_z
_atom_site_occupancy
La1 La 0.000 0.000 0.249 1
La2 La 0.000 0.000 0.751 1
La3 La 0.500 0.500 0.249 1
La4 La 0.500 0.500 0.751 1
Tb1 Tb 0.000 0.500 0.000 1
Tb2 Tb 0.500 0.000 0.500 1
Sm1 Sm 0.000 0.500 0.500 1
Dy1 Dy 0.500 0.000 0.000 1

***

# 3
# Pr3SmCl, optimized geometry, DFT PBE
# E   -4.686 eV/atom
# DOS at the Fermi energy   5.0 states/eV per cell
# Formation energy (no corrections)   -505 meV/atom
# Magnetization   0.00 Bohr magnetons per cell
# SG   Pm-3m
data_Pr3SmCl
_symmetry_space_group_name_H-M 'P 1'
_symmetry_Int_Tables_number 1
_cell_length_a 5.532
_cell_length_b 5.532
_cell_length_c 5.532
_cell_angle_alpha 90.00
_cell_angle_beta 90.00
_cell_angle_gamma 90.00
loop_
_symmetry_equiv_pos_as_xyz
'x,y,z'
loop_
_atom_site_label
_atom_site_type_symbol
_atom_site_fract_x
_atom_site_fract_y
_atom_site_fract_z
_atom_site_occupancy
Pr1 Pr 0.000 0.000 0.500 1
Pr2 Pr 0.000 0.500 0.000 1
Pr3 Pr 0.500 0.000 0.000 1
Sm1 Sm 0.500 0.500 0.500 1
Cl1 Cl 0.000 0.000 0.000 1

***

# 4
# MnCdCu2Se4, optimized geometry, DFT PBE
# E   -4.360 eV/atom
# DOS at the Fermi energy   5.5 states/eV per cell
# Formation energy (no corrections)   -334 meV/atom
# Magnetization   5.94 Bohr magnetons per cell
# SG   I-42m
data_MnCdCu2Se4
_symmetry_space_group_name_H-M 'P 1'
_symmetry_Int_Tables_number 1
_cell_length_a 5.744
_cell_length_b 5.744
_cell_length_c 11.312
_cell_angle_alpha 90.00
_cell_angle_beta 90.00
_cell_angle_gamma 90.00
loop_
_symmetry_equiv_pos_as_xyz
'x,y,z'
loop_
_atom_site_label
_atom_site_type_symbol
_atom_site_fract_x
_atom_site_fract_y
_atom_site_fract_z
_atom_site_occupancy
Mn1 Mn 0.000 0.000 0.000 1
Mn2 Mn 0.500 0.500 0.500 1
Cd1 Cd 0.000 0.000 0.500 1
Cd2 Cd 0.500 0.500 0.000 1
Cu1 Cu 0.000 0.500 0.250 1
Cu2 Cu 0.000 0.500 0.750 1
Cu3 Cu 0.500 0.000 0.250 1
Cu4 Cu 0.500 0.000 0.750 1
Se1 Se 0.228 0.228 0.135 1
Se2 Se 0.228 0.772 0.865 1
Se3 Se 0.272 0.272 0.635 1
Se4 Se 0.272 0.728 0.365 1
Se5 Se 0.728 0.272 0.365 1
Se6 Se 0.728 0.728 0.635 1
Se7 Se 0.772 0.228 0.865 1
Se8 Se 0.772 0.772 0.135 1

***

# 5
# BeMo3, optimized geometry, DFT PBE
# E   -8.970 eV/atom
# DOS at the Fermi energy   11.1 states/eV per cell
# Formation enthalpy at 0 K   0.085 eV per atom
# Magnetization   0.00 Bohr magnetons per cell
# SG   Pnma
data_BeMo3
_symmetry_space_group_name_H-M 'P 1'
_symmetry_Int_Tables_number 1
_cell_length_a 6.079
_cell_length_b 7.560
_cell_length_c 4.899
_cell_angle_alpha 90.00
_cell_angle_beta 90.00
_cell_angle_gamma 90.00
loop_
_symmetry_equiv_pos_as_xyz
'x,y,z'
loop_
_atom_site_label
_atom_site_type_symbol
_atom_site_fract_x
_atom_site_fract_y
_atom_site_fract_z
_atom_site_occupancy
Be1 Be 0.117 0.250 0.073 1
Be2 Be 0.383 0.750 0.573 1
Be3 Be 0.617 0.250 0.427 1
Be4 Be 0.883 0.750 0.927 1
Mo1 Mo 0.005 0.750 0.402 1
Mo2 Mo 0.178 0.551 0.851 1
Mo3 Mo 0.178 0.949 0.851 1
Mo4 Mo 0.322 0.051 0.351 1
Mo5 Mo 0.322 0.449 0.351 1
Mo6 Mo 0.495 0.250 0.902 1
Mo7 Mo 0.505 0.750 0.098 1
Mo8 Mo 0.678 0.551 0.649 1
Mo9 Mo 0.678 0.949 0.649 1
Mo10 Mo 0.822 0.051 0.149 1
Mo11 Mo 0.822 0.449 0.149 1
Mo12 Mo 0.995 0.250 0.598 1

***

# 6
# Cd12NiAu6, optimized geometry, DFT PBE
# E   -2.034 eV/atom
# DOS at the Fermi energy   7.3 states/eV per cell
# Formation enthalpy at 0 K   -0.117 eV per atom
# Magnetization   0.00 Bohr magnetons per cell
# SG   R-3
data_Cd12NiAu6
_symmetry_space_group_name_H-M 'P 1'
_symmetry_Int_Tables_number 1
_cell_length_a 7.257
_cell_length_b 7.257
_cell_length_c 7.257
_cell_angle_alpha 89.42
_cell_angle_beta 89.42
_cell_angle_gamma 89.42
loop_
_symmetry_equiv_pos_as_xyz
'x,y,z'
loop_
_atom_site_label
_atom_site_type_symbol
_atom_site_fract_x
_atom_site_fract_y
_atom_site_fract_z
_atom_site_occupancy
Cd1 Cd 0.035 0.941 0.300 1
Cd2 Cd 0.059 0.700 0.965 1
Cd3 Cd 0.141 0.474 0.357 1
Cd4 Cd 0.300 0.035 0.941 1
Cd5 Cd 0.357 0.141 0.474 1
Cd6 Cd 0.474 0.357 0.141 1
Cd7 Cd 0.526 0.643 0.859 1
Cd8 Cd 0.643 0.859 0.526 1
Cd9 Cd 0.700 0.965 0.059 1
Cd10 Cd 0.859 0.526 0.643 1
Cd11 Cd 0.941 0.300 0.035 1
Cd12 Cd 0.965 0.059 0.700 1
Ni1 Ni 0.500 0.500 0.500 1
Au1 Au 0.220 0.388 0.762 1
Au2 Au 0.238 0.780 0.612 1
Au3 Au 0.388 0.762 0.220 1
Au4 Au 0.612 0.238 0.780 1
Au5 Au 0.762 0.220 0.388 1
Au6 Au 0.780 0.612 0.238 1

***

# 7
# Er12ZnRu6, optimized geometry, DFT PBE
# E   -6.053 eV/atom
# DOS at the Fermi energy   10.1 states/eV per cell
# Formation enthalpy at 0 K   -0.174 eV per atom
# Magnetization   0.00 Bohr magnetons per cell
# SG   R-3
data_Er12ZnRu6
_symmetry_space_group_name_H-M 'P 1'
_symmetry_Int_Tables_number 1
_cell_length_a 8.089
_cell_length_b 8.089
_cell_length_c 8.089
_cell_angle_alpha 101.01
_cell_angle_beta 101.01
_cell_angle_gamma 101.01
loop_
_symmetry_equiv_pos_as_xyz
'x,y,z'
loop_
_atom_site_label
_atom_site_type_symbol
_atom_site_fract_x
_atom_site_fract_y
_atom_site_fract_z
_atom_site_occupancy
Er1 Er 0.067 0.667 0.924 1
Er2 Er 0.076 0.933 0.333 1
Er3 Er 0.177 0.417 0.559 1
Er4 Er 0.333 0.076 0.933 1
Er5 Er 0.417 0.559 0.177 1
Er6 Er 0.441 0.823 0.583 1
Er7 Er 0.559 0.177 0.417 1
Er8 Er 0.583 0.441 0.823 1
Er9 Er 0.667 0.924 0.067 1
Er10 Er 0.823 0.583 0.441 1
Er11 Er 0.924 0.067 0.667 1
Er12 Er 0.933 0.333 0.076 1
Zn1 Zn 0.000 0.000 0.000 1
Ru1 Ru 0.139 0.615 0.303 1
Ru2 Ru 0.303 0.139 0.615 1
Ru3 Ru 0.385 0.697 0.861 1
Ru4 Ru 0.615 0.303 0.139 1
Ru5 Ru 0.697 0.861 0.385 1
Ru6 Ru 0.861 0.385 0.697 1

***

# 8
# Ti2In2Pd, optimized geometry, DFT PBE
# E   -5.192 eV/atom
# DOS at the Fermi energy   8.1 states/eV per cell
# Formation enthalpy at 0 K   0.100 eV per atom
# Magnetization   2.66 Bohr magnetons per cell
# SG   P4/mbm
data_Ti2In2Pd
_symmetry_space_group_name_H-M 'P 1'
_symmetry_Int_Tables_number 1
_cell_length_a 7.982
_cell_length_b 7.982
_cell_length_c 3.124
_cell_angle_alpha 90.00
_cell_angle_beta 90.00
_cell_angle_gamma 90.00
loop_
_symmetry_equiv_pos_as_xyz
'x,y,z'
loop_
_atom_site_label
_atom_site_type_symbol
_atom_site_fract_x
_atom_site_fract_y
_atom_site_fract_z
_atom_site_occupancy
Ti1 Ti 0.111 0.389 0.000 1
Ti2 Ti 0.389 0.889 0.000 1
Ti3 Ti 0.611 0.111 0.000 1
Ti4 Ti 0.889 0.611 0.000 1
In1 In 0.188 0.688 0.500 1
In2 In 0.312 0.188 0.500 1
In3 In 0.688 0.812 0.500 1
In4 In 0.812 0.312 0.500 1
Pd1 Pd 0.000 0.000 0.000 1
Pd2 Pd 0.500 0.500 0.000 1

***

# 9
# Ho2PuAgO8, optimized geometry, DFT PBE
# E   -7.836 eV/atom
# DOS at the Fermi energy   2.1 states/eV per cell
# Formation energy (no corrections)   -2336 meV/atom
# Magnetization   0.99 Bohr magnetons per cell
# SG   P-1
data_Ho2PuAgO8
_symmetry_space_group_name_H-M 'P 1'
_symmetry_Int_Tables_number 1
_cell_length_a 5.003
_cell_length_b 5.008
_cell_length_c 7.071
_cell_angle_alpha 85.02
_cell_angle_beta 85.08
_cell_angle_gamma 85.71
loop_
_symmetry_equiv_pos_as_xyz
'x,y,z'
loop_
_atom_site_label
_atom_site_type_symbol
_atom_site_fract_x
_atom_site_fract_y
_atom_site_fract_z
_atom_site_occupancy
Ho1 Ho 0.034 0.034 0.236 1
Ho2 Ho 0.966 0.966 0.764 1
Pu1 Pu 0.500 0.500 0.500 1
Ag1 Ag 0.500 0.500 0.000 1
O1 O 0.201 0.799 0.000 1
O2 O 0.206 0.793 0.500 1
O3 O 0.287 0.286 0.675 1
O4 O 0.338 0.338 0.255 1
O5 O 0.662 0.662 0.745 1
O6 O 0.713 0.714 0.325 1
O7 O 0.794 0.207 0.500 1
O8 O 0.799 0.201 0.000 1

***

# 10
# CePrGaSn, optimized geometry, DFT PBE
# E   -4.847 eV/atom
# DOS at the Fermi energy   13.0 states/eV per cell
# Formation enthalpy at 0 K   -0.411 eV per atom
# Magnetization   0.02 Bohr magnetons per cell
# SG   P4/nmm
data_CePrGaSn
_symmetry_space_group_name_H-M 'P 1'
_symmetry_Int_Tables_number 1
_cell_length_a 4.336
_cell_length_b 4.336
_cell_length_c 11.493
_cell_angle_alpha 90.00
_cell_angle_beta 90.00
_cell_angle_gamma 90.00
loop_
_symmetry_equiv_pos_as_xyz
'x,y,z'
loop_
_atom_site_label
_atom_site_type_symbol
_atom_site_fract_x
_atom_site_fract_y
_atom_site_fract_z
_atom_site_occupancy
Ce1 Ce 0.250 0.750 0.000 1
Ce2 Ce 0.750 0.250 0.000 1
Pr1 Pr 0.250 0.250 0.279 1
Pr2 Pr 0.750 0.750 0.721 1
Ga1 Ga 0.250 0.250 0.803 1
Ga2 Ga 0.750 0.750 0.197 1
Sn1 Sn 0.250 0.250 0.556 1
Sn2 Sn 0.750 0.750 0.444 1

***

# 11
# Tl2Sn2Bi, optimized geometry, DFT PBE
# E   -3.173 eV/atom
# DOS at the Fermi energy   5.9 states/eV per cell
# Formation enthalpy at 0 K   0.151 eV per atom
# Magnetization   0.00 Bohr magnetons per cell
# SG   I4/mmm
data_Tl2Sn2Bi
_symmetry_space_group_name_H-M 'P 1'
_symmetry_Int_Tables_number 1
_cell_length_a 4.434
_cell_length_b 4.434
_cell_length_c 16.317
_cell_angle_alpha 90.00
_cell_angle_beta 90.00
_cell_angle_gamma 90.00
loop_
_symmetry_equiv_pos_as_xyz
'x,y,z'
loop_
_atom_site_label
_atom_site_type_symbol
_atom_site_fract_x
_atom_site_fract_y
_atom_site_fract_z
_atom_site_occupancy
Tl1 Tl 0.000 0.500 0.250 1
Tl2 Tl 0.000 0.500 0.750 1
Tl3 Tl 0.500 0.000 0.250 1
Tl4 Tl 0.500 0.000 0.750 1
Sn1 Sn 0.000 0.000 0.089 1
Sn2 Sn 0.000 0.000 0.911 1
Sn3 Sn 0.500 0.500 0.411 1
Sn4 Sn 0.500 0.500 0.589 1
Bi1 Bi 0.000 0.000 0.500 1
Bi2 Bi 0.500 0.500 0.000 1

***

# 12
# Er3TmRh, optimized geometry, DFT PBE
# E   -5.516 eV/atom
# DOS at the Fermi energy   11.8 states/eV per cell
# Formation enthalpy at 0 K   -0.414 eV per atom
# Magnetization   0.00 Bohr magnetons per cell
# SG   Cm
data_Er3TmRh
_symmetry_space_group_name_H-M 'P 1'
_symmetry_Int_Tables_number 1
_cell_length_a 6.204
_cell_length_b 6.204
_cell_length_c 13.519
_cell_angle_alpha 114.16
_cell_angle_beta 114.16
_cell_angle_gamma 34.93
loop_
_symmetry_equiv_pos_as_xyz
'x,y,z'
loop_
_atom_site_label
_atom_site_type_symbol
_atom_site_fract_x
_atom_site_fract_y
_atom_site_fract_z
_atom_site_occupancy
Er1 Er 0.000 0.000 0.000 1
Er2 Er 0.014 0.014 0.363 1
Er3 Er 0.223 0.223 0.846 1
Er4 Er 0.332 0.332 0.127 1
Er5 Er 0.664 0.664 0.240 1
Er6 Er 0.678 0.678 0.602 1
Tm1 Tm 0.346 0.346 0.476 1
Tm2 Tm 0.456 0.456 0.756 1
Rh1 Rh 0.014 0.014 0.629 1
Rh2 Rh 0.663 0.663 0.972 1